P | Compound: Zr4Ni
Source: Alexandria
Functional: PBE
Structure: relaxed

abc: 6.937 6.937 6.937
angles: 60.00 60.00 60.00
Fractional coordinates of all 10 atoms:
1 Zr 0.860 0.860 0.860
2 Zr 0.860 0.420 0.860
3 Zr 0.860 0.860 0.420
4 Zr 0.390 0.830 0.390
5 Zr 0.390 0.390 0.390
6 Zr 0.420 0.860 0.860
7 Zr 0.390 0.390 0.830
8 Zr 0.830 0.390 0.390
9 Ni 0.250 0.250 0.250
10 Ni 0.000 0.000 0.000

Properties
For the density, the calculation gives 5.96 g/cm³. The symmetry is Fd-3m. The volume comes out at 118 Å³/f.u.


Q | Compound: Zr4Ni
Source: Alexandria
Functional: PBE
Structure: relaxed

abc: 3.274 5.833 5.833
angles: 94.52 106.30 73.70
Fractional coordinates of all 5 atoms:
1 Ni 0.000 0.000 0.000
2 Zr 0.224 0.195 0.642
3 Zr 0.581 0.642 0.805
4 Zr 0.776 0.805 0.358
5 Zr 0.419 0.358 0.195

Properties
For the density, the calculation gives 6.86 g/cm³. The symmetry is I4/m. The volume comes out at 103 Å³/f.u.


R | Compound: Zr4Ni
Source: Alexandria
Functional: PBE
Structure: relaxed

abc: 4.883 4.883 4.883
angles: 90.00 90.00 90.00
Fractional coordinates of all 5 atoms:
1 Ni 0.500 0.500 0.500
2 Zr 0.000 0.000 0.000
3 Zr 0.500 0.000 0.500
4 Zr 0.000 0.500 0.500
5 Zr 0.500 0.500 0.000

Properties
For the density, the calculation gives 6.04 g/cm³. The symmetry is Pm-3m. The volume comes out at 116 Å³/f.u.


S | Compound: Zr4Ni
Source: Alexandria
Functional: PBE
Structure: relaxed

abc: 8.320 8.416 5.817
angles: 100.26 102.25 141.32
Fractional coordinates of all 10 atoms:
1 Zr 0.441 0.448 0.626
2 Zr 0.735 0.848 0.278
3 Zr 0.024 0.145 0.953
4 Zr 0.133 0.890 0.142
5 Zr 0.376 0.763 0.422
6 Zr 0.978 0.721 0.557
7 Zr 0.087 0.466 0.747
8 Zr 0.670 0.163 0.074
9 Ni 0.506 0.340 0.030
10 Ni 0.605 0.270 0.670

Properties
For the density, the calculation gives 6.84 g/cm³. The symmetry is P-1. The volume comes out at 103 Å³/f.u.


Stability check: which of them is least stable? P.